Entry 1:
Compound: K2CeGaCl6
Source: Alexandria via LeMat-Bulk
Functional: PBE-GGA
Structure: optimized geometry

The space group is P2_1/c (No. 14) and the conventional cell measures 7.517, 7.967 and 13.042 Å, with angles of 90.00, 123.73 and 90.00 degrees. Symmetry generates all atoms from K at (0.215, 0.075, 0.244), Ce at (0.500, 0.000, 0.000), Ga at (0.000, 0.000, 0.500), Cl at (0.145, 0.187, 0.941), Cl at (0.250, 0.713, 0.929) and Cl at (0.388, 0.052, 0.761).

The formation energy (no corrections) comes out at -42.18 kcal/mol of atoms. The spin magnetization comes out at 1.00 μB/f.u.

***

Entry 2:
Compound: BaLiI2N
Source: Alexandria via LeMat-Bulk
Functional: PBE-GGA
Structure: optimized geometry

The space group is P4/mmm (No. 123) and the conventional cell measures 5.840, 5.840 and 4.351 Å, with angles of 90.00, 90.00 and 90.00 degrees. Symmetry generates all atoms from Ba at (0.000, 0.000, 0.000), Li at (0.500, 0.500, 0.500), I at (0.000, 0.500, 0.500) and N at (0.500, 0.500, 0.000).

The formation energy (no corrections) comes out at -9.56 kcal/mol of atoms. The spin magnetization comes out at 2.03 μB/f.u. Its relative energy among the computed polymorphs is 0 meV/atom.

***

Entry 3:
Compound: Nd2YEr5Tm
Source: Alexandria via LeMat-Bulk
Functional: PBE-GGA
Structure: optimized geometry

The space group is I4/mcm (No. 140) and the conventional cell measures 8.581, 8.581 and 15.633 Å, with angles of 90.00, 90.00 and 90.00 degrees. Symmetry generates all atoms from Nd at (0.118, 0.382, 0.000), Y at (0.000, 0.000, 0.250), Er at (0.000, 0.000, 0.000), Er at (0.213, 0.287, 0.359) and Tm at (0.000, 0.500, 0.250).

For the energy of formation, the calculation gives 0.274 eV/atom. The spin magnetization comes out at 0.00 μB/f.u.

***

Entry 4:
Compound: Ce5Te5As
Source: Alexandria via LeMat-Bulk
Functional: PBE-GGA
Structure: optimized geometry

The space group is C2/m (No. 12) and the conventional cell measures 14.019, 6.284 and 8.856 Å, with angles of 90.00, 108.76 and 90.00 degrees. Symmetry generates all atoms from Ce at (0.000, 0.000, 0.000), Ce at (0.159, 0.500, 0.321), Ce at (0.160, 0.500, 0.840), Te at (0.000, 0.500, 0.500), Te at (0.162, 0.000, 0.823), Te at (0.170, 0.000, 0.337) and As at (0.000, 0.500, 0.000).

The formation energy (no corrections) comes out at -31.45 kcal/mol of atoms. The spin magnetization comes out at 5.37 μB/f.u.

***

Entry 5:
Compound: Ba6Sr3Pt
Source: Alexandria via LeMat-Bulk
Functional: PBE-GGA
Structure: optimized geometry

The space group is Cmcm (No. 63) and the conventional cell measures 19.050, 18.748 and 6.347 Å, with angles of 90.00, 90.00 and 90.00 degrees. Symmetry generates all atoms from Ba at (0.000, 0.086, 0.250), Ba at (0.000, 0.252, 0.750), Ba at (0.163, 0.252, 0.250), Ba at (0.169, 0.421, 0.750), Sr at (0.000, 0.415, 0.250), Sr at (0.167, 0.081, 0.750) and Pt at (0.000, 0.253, 0.250).

For the energy of formation, the calculation gives -0.203 eV/atom. The spin magnetization comes out at 0.00 μB/f.u.

***

Entry 6:
Compound: EuScTlBi
Source: Alexandria via LeMat-Bulk
Functional: PBE-GGA
Structure: optimized geometry

The space group is F-43m (No. 216) and the conventional cell measures 7.677, 7.677 and 7.677 Å, with angles of 90.00, 90.00 and 90.00 degrees. Symmetry generates all atoms from Eu at (0.000, 0.000, 0.000), Sc at (0.000, 0.000, 0.500), Tl at (0.250, 0.250, 0.250) and Bi at (0.250, 0.250, 0.750).

For the energy of formation, the calculation gives -0.387 eV/atom. The spin magnetization comes out at 7.43 μB/f.u.

***

Entry 7:
Compound: YSiIr
Source: Alexandria via LeMat-Bulk
Functional: PBE-GGA
Structure: optimized geometry

The space group is C2/m (No. 12) and the conventional cell measures 10.153, 4.152 and 6.871 Å, with angles of 90.00, 129.76 and 90.00 degrees. Symmetry generates all atoms from Y at (0.063, 0.000, 0.298), Si at (0.156, 0.500, 0.715) and Ir at (0.192, 0.500, 0.105).

The formation energy (no corrections) comes out at -22.46 kcal/mol of atoms. The spin magnetization comes out at 0.00 μB/f.u.

***

Entry 8:
Compound: HoIn2Ru
Source: Alexandria via LeMat-Bulk
Functional: PBE-GGA
Structure: optimized geometry

The space group is P4/mmm (No. 123) and the conventional cell measures 3.347, 3.347 and 7.534 Å, with angles of 90.00, 90.00 and 90.00 degrees. Symmetry generates all atoms from Ho at (0.000, 0.000, 0.000), In at (0.500, 0.500, 0.296) and Ru at (0.000, 0.000, 0.500).

For the energy of formation, the calculation gives -0.171 eV/atom. The spin magnetization comes out at 0.31 μB/f.u.

***

Entry 9:
Compound: ErZnBr
Source: Alexandria via LeMat-Bulk
Functional: PBE-GGA
Structure: optimized geometry

The space group is C2/m (No. 12) and the conventional cell measures 6.715, 3.876 and 13.013 Å, with angles of 90.00, 99.26 and 90.00 degrees. Symmetry generates all atoms from Er at (0.104, 0.000, 0.298), Zn at (0.182, 0.000, 0.551) and Br at (0.108, 0.500, 0.846).

The formation energy (no corrections) comes out at -19.70 kcal/mol of atoms. The spin magnetization comes out at 0.00 μB/f.u.

***

Entry 10:
Compound: DyHo9Sc2
Source: Alexandria via LeMat-Bulk
Functional: PBE-GGA
Structure: optimized geometry

The space group is P4/mmm (No. 123) and the conventional cell measures 4.930, 4.930 and 14.759 Å, with angles of 90.00, 90.00 and 90.00 degrees. Symmetry generates all atoms from Dy at (0.000, 0.000, 0.000), Ho at (0.000, 0.500, 0.171), Ho at (0.000, 0.500, 0.500), Ho at (0.500, 0.500, 0.000), Ho at (0.500, 0.500, 0.336) and Sc at (0.000, 0.000, 0.335).

For the energy of formation, the calculation gives 0.036 eV/atom. The spin magnetization comes out at 0.00 μB/f.u. Its relative energy among the computed polymorphs is 0 meV/atom.

***

Entry 11:
Compound: Ca3Ac6Pm
Source: Alexandria via LeMat-Bulk
Functional: PBE-GGA
Structure: optimized geometry

The space group is R3m (No. 160, hexagonal axes) and the conventional cell measures 21.6477, 21.6477 and 4.1290 Å, with angles of 90.00, 90.00 and 120.00 degrees. Symmetry generates all atoms from Ca at (0.1450, 0.0725, 0.0000), Ac at (0.0944, 0.1888, 0.5461), Ac at (0.1788, 0.3576, 0.0979) and Pm at (0.0000, 0.0000, 0.4952).

For the energy of formation, the calculation gives 0.601 eV/atom. The spin magnetization comes out at 0.00 μB/f.u.

***

Entry 12:
Compound: CrHgSb2Te
Source: Alexandria via LeMat-Bulk
Functional: PBE-GGA
Structure: optimized geometry

The space group is P4/mmm (No. 123) and the conventional cell measures 5.093, 5.093 and 5.338 Å, with angles of 90.00, 90.00 and 90.00 degrees. Symmetry generates all atoms from Cr at (0.000, 0.000, 0.000), Hg at (0.500, 0.500, 0.500), Sb at (0.000, 0.500, 0.000) and Te at (0.000, 0.000, 0.500).

The formation energy (no corrections) comes out at 8.17 kcal/mol of atoms. The spin magnetization comes out at 1.62 μB/f.u. Its relative energy among the computed polymorphs is 0 meV/atom.